LiMnAsO5: relaxed, PBE with a Hubbard U.

Summary:
Electronic total energy, Ry/atom: -0.462
SG: No. 2

Structure (extended XYZ):
```
16
Lattice="5.248 -0.187 0.061 -1.408 5.277 -0.023 -1.736 -2.329 6.382" Properties=species:S:1:pos:R:3 pbc="T T T"
O 3.636 3.964 0.963
O -1.531 -1.203 5.457
Mn -0.704 2.639 -0.012
Li 1.161 2.330 4.529
O -0.527 1.735 1.626
O 1.122 -0.801 6.220
Li 0.943 0.430 1.891
Mn -1.572 1.474 3.179
As 0.061 -0.896 4.865
O 2.807 -0.301 2.485
O 2.080 2.288 2.631
O -0.703 3.062 3.935
As 2.043 3.657 1.555
O 2.631 1.026 4.794
O 0.024 0.473 3.789
O 0.982 3.562 0.200
```